# YHf2Zr (GGA-PBE, optimized geometry)
# total magnetic moment: 0.00 μB/atom
# polymorph energy (0 for the lowest one): 0.151 eV per atom
# raw total energy: -33.8 eV/cell
# N(E_F): 5.7 states/eV per cell
data_YHf2Zr
_cell_length_a 5.155
_cell_length_b 5.155
_cell_length_c 5.155
_cell_angle_alpha 60.00
_cell_angle_beta 60.00
_cell_angle_gamma 60.00
_symmetry_space_group_name_H-M 'P 1'
_symmetry_Int_Tables_number 1
loop_
_symmetry_equiv_pos_as_xyz
'x,y,z'
loop_
_atom_site_label
_atom_site_fract_x
_atom_site_fract_y
_atom_site_fract_z
Hf1 0.250 0.250 0.250
Zr1 0.500 0.500 0.500
Y1 0.000 0.000 0.000
Hf2 0.750 0.750 0.750